The following is a DFT calculation (PBE) of a geometry-optimized LiReAg3 structure.

Cell: 4.3257 4.3257 4.3257 Å, 90.00 90.00 90.00°
Fractional positions:
1 Ag 0.0000 0.0000 0.5000
2 Ag 0.0000 0.5000 0.0000
3 Ag 0.5000 0.0000 0.0000
4 Li 0.0000 0.0000 0.0000
5 Re 0.5000 0.5000 0.5000

Properties
Its energy relative to the lowest polymorph listed for this composition is 0.0 meV/atom. The calculation puts the energy at -3.47 eV/atom. As for the space group: Pm-3m (221). For the theoretical density, the calculation gives 10.60 g/cm3.

The following is a DFT calculation (PBE) of a geometry-optimized FeTc2Cl structure.

Cell: 8.3434 8.3434 8.3434 Å, 19.46 19.46 19.46°
Fractional positions:
1 Fe 0.7500 0.7500 0.7500
2 Tc 0.0017 0.0017 0.0017
3 Tc 0.4983 0.4983 0.4983
4 Cl 0.2500 0.2500 0.2500

Properties
Its energy relative to the lowest polymorph listed for this composition is 154.4 meV/atom. As for the uncorrected formation energy: 400 meV per atom. The calculation puts the energy at -7.36 eV/atom. As for the space group: R-3m (166). For the theoretical density, the calculation gives 8.46 g/cm3.

The following is a DFT calculation (PBE) of a geometry-optimized DyHo6S8 structure.

Cell: 7.7557 7.7557 7.7557 Å, 60.00 60.00 60.00°
Fractional positions:
1 S 0.7481 0.7481 0.2519
2 S 0.7481 0.2519 0.2519
3 S 0.7481 0.2519 0.7481
4 S 0.2519 0.2519 0.7481
5 S 0.2500 0.2500 0.2500
6 S 0.2519 0.7481 0.7481
7 S 0.7500 0.7500 0.7500
8 S 0.2519 0.7481 0.2519
9 Ho 0.5000 0.0000 0.5000
10 Ho 0.0000 0.5000 0.5000
11 Ho 0.0000 0.0000 0.5000
12 Ho 0.0000 0.5000 0.0000
13 Ho 0.5000 0.0000 0.0000
14 Ho 0.5000 0.5000 0.0000
15 Dy 0.0000 0.0000 0.0000

Properties
As for the uncorrected formation energy: -2041 meV per atom. The calculation puts the energy at -6.38 eV/atom. As for the space group: Fm-3m (225). For the theoretical density, the calculation gives 7.09 g/cm3.

The following is a DFT calculation (PBE) of a geometry-optimized YNbPt3 structure.

Cell: 4.8975 4.8975 4.8975 Å, 90.00 90.00 90.00°
Fractional positions:
1 Pt 0.0000 0.5000 0.0000
2 Pt 0.5000 0.0000 0.0000
3 Pt 0.0000 0.0000 0.5000
4 Nb 0.0000 0.0000 0.0000
5 Y 0.5000 0.5000 0.5000

Properties
Its energy relative to the lowest polymorph listed for this composition is 0.0 meV/atom. The calculation puts the energy at -6.96 eV/atom. As for the space group: Pm-3m (221). For the theoretical density, the calculation gives 10.84 g/cm3.

The following is a DFT calculation (PBE) of a geometry-optimized KV2Ga structure.

Cell: 4.3964 4.3964 10.3044 Å, 77.68 77.68 90.00°
Fractional positions:
1 K 0.5000 0.5000 0.0000
2 K 0.2500 0.7500 0.5000
3 Ga 0.0000 0.0000 0.0000
4 Ga 0.7500 0.2500 0.5000
5 V 0.8750 0.1058 0.7500
6 V 0.3750 0.1442 0.7500
7 V 0.8942 0.6250 0.2500
8 V 0.8558 0.1250 0.2500

Properties
The calculation puts the energy at -4.52 eV/atom. As for the space group: I-42d (122). For the theoretical density, the calculation gives 3.69 g/cm3.

The following is a DFT calculation (PBE) of a geometry-optimized PrGa4OsRh2 structure.

Cell: 4.2603 4.2603 9.2002 Å, 76.61 76.61 60.00°
Fractional positions:
1 Pr 0.0000 0.0000 0.0000
2 Os 0.5000 0.5000 0.5000
3 Ga 0.8671 0.8671 0.3986
4 Ga 0.1329 0.1329 0.6014
5 Ga 0.5968 0.5968 0.2097
6 Ga 0.4032 0.4032 0.7903
7 Rh 0.2353 0.2353 0.2941
8 Rh 0.7647 0.7647 0.7059

Properties
The calculation puts the energy at -5.86 eV/atom. As for the space group: R-3m (166). For the theoretical density, the calculation gives 9.72 g/cm3.

The following is a DFT calculation (PBE) of a geometry-optimized CrPS4 structure.

Cell: 3.2847 5.8739 7.2377 Å, 65.24 76.89 90.00°
Fractional positions:
1 Cr 0.0000 0.0000 0.0000
2 P 0.5000 0.5000 0.0000
3 S 0.3989 0.0795 0.2024
4 S 0.1028 0.4422 0.7944
5 S 0.6011 0.9205 0.7976
6 S 0.8972 0.5578 0.2056

Properties
As for the uncorrected formation energy: -354 meV per atom. The calculation puts the energy at -5.61 eV/atom. As for the space group: C2/m (12). For the theoretical density, the calculation gives 2.86 g/cm3.

The following is a DFT calculation (PBE) of a geometry-optimized Sr2CdAu6 structure.

Cell: 5.9699 6.3834 6.3834 Å, 120.00 90.00 90.00°
Fractional positions:
1 Cd 0.5000 0.0000 0.0000
2 Au 0.8272 0.8165 0.1835
3 Au 0.1728 0.1835 0.3670
4 Au 0.8272 0.3670 0.1835
5 Au 0.1728 0.6330 0.8165
6 Au 0.1728 0.1835 0.8165
7 Au 0.8272 0.8165 0.6330
8 Sr 0.6674 0.3333 0.6667
9 Sr 0.3326 0.6667 0.3333

Properties
The calculation puts the energy at -3.17 eV/atom. As for the space group: P-3m1 (164). For the theoretical density, the calculation gives 11.58 g/cm3.

The following is a DFT calculation (PBE) of a geometry-optimized FeCo2Si structure.

Cell: 7.8273 7.8273 7.8273 Å, 19.05 19.05 19.05°
Fractional positions:
1 Co 0.4965 0.4965 0.4965
2 Co 0.0035 0.0035 0.0035
3 Fe 0.2500 0.2500 0.2500
4 Si 0.7500 0.7500 0.7500

Properties
As for the uncorrected formation energy: -101 meV per atom. The calculation puts the energy at -7.13 eV/atom. As for the space group: R-3m (166). For the theoretical density, the calculation gives 7.51 g/cm3.

The following is a DFT calculation (PBE) of a geometry-optimized UMnAs2 structure.

Cell: 5.0816 5.8301 10.1630 Å, 90.00 90.00 90.00°
Fractional positions:
1 Mn 0.4292 0.6714 0.3986
2 Mn 0.9292 0.8286 0.8986
3 Mn 0.4292 0.1714 0.1014
4 Mn 0.9292 0.3286 0.6014
5 As 0.1626 0.8199 0.1022
6 As 0.6626 0.1801 0.8978
7 As 0.1029 0.4534 0.8136
8 As 0.1029 0.9534 0.6864
9 As 0.6029 0.0466 0.3136
10 As 0.6029 0.5466 0.1864
11 As 0.6626 0.6801 0.6022
12 As 0.1626 0.3199 0.3978
13 U 0.5551 0.6751 0.8983
14 U 0.5551 0.1751 0.6017
15 U 0.0551 0.8249 0.3983
16 U 0.0551 0.3249 0.1017

Properties
Its energy relative to the lowest polymorph listed for this composition is 165.7 meV/atom. The calculation puts the energy at -7.80 eV/atom. As for the space group: Pna2_1 (33). For the theoretical density, the calculation gives 9.77 g/cm3.

The following is a DFT calculation (PBE) of a geometry-optimized K3AuCl6 structure.

Cell: 7.7176 7.7176 7.7176 Å, 60.00 60.00 60.00°
Fractional positions:
1 Cl 0.2299 0.7701 0.7701
2 Cl 0.2299 0.7701 0.2299
3 Cl 0.7701 0.2299 0.2299
4 Cl 0.7701 0.7701 0.2299
5 Cl 0.7701 0.2299 0.7701
6 Cl 0.2299 0.2299 0.7701
7 Au 0.0000 0.0000 0.0000
8 K 0.5000 0.5000 0.5000
9 K 0.7500 0.7500 0.7500
10 K 0.2500 0.2500 0.2500

Properties
Its energy relative to the lowest polymorph listed for this composition is 147.8 meV/atom. As for the uncorrected formation energy: -1158 meV per atom. The calculation puts the energy at -2.92 eV/atom. As for the space group: Fm-3m (225). For the theoretical density, the calculation gives 2.69 g/cm3.

The following is a DFT calculation (PBE) of a geometry-optimized ZrVRe3 structure.

Cell: 4.5100 4.5100 4.5100 Å, 90.00 90.00 90.00°
Fractional positions:
1 Zr 0.5000 0.5000 0.5000
2 Re 0.0000 0.5000 0.0000
3 Re 0.0000 0.0000 0.5000
4 Re 0.5000 0.0000 0.0000
5 V 0.0000 0.0000 0.0000

Properties
Its energy relative to the lowest polymorph listed for this composition is 0.0 meV/atom. The calculation puts the energy at -10.00 eV/atom. As for the space group: Pm-3m (221). For the theoretical density, the calculation gives 12.69 g/cm3.

The following is a DFT calculation (PBE) of a geometry-optimized Ac3Pr3Tl2Pb structure.

Cell: 4.4776 9.1577 9.1577 Å, 120.00 90.00 90.00°
Fractional positions:
1 Pr 0.0000 0.3974 0.0000
2 Pr 0.0000 0.0000 0.3974
3 Pr 0.0000 0.6026 0.6026
4 Ac 0.5000 0.7216 0.0000
5 Ac 0.5000 0.0000 0.7216
6 Ac 0.5000 0.2784 0.2784
7 Tl 0.5000 0.3333 0.6667
8 Tl 0.5000 0.6667 0.3333
9 Pb 0.0000 0.0000 0.0000

Properties
The calculation puts the energy at -4.15 eV/atom. As for the space group: P-62m (189). For the theoretical density, the calculation gives 8.78 g/cm3.

The following is a DFT calculation (PBE) of a geometry-optimized HoTiHg2 structure.

Cell: 3.5490 3.5490 7.0310 Å, 90.00 90.00 90.00°
Fractional positions:
1 Hg 0.0000 0.0000 0.7760
2 Hg 0.0000 0.0000 0.2240
3 Ti 0.5000 0.5000 0.0000
4 Ho 0.5000 0.5000 0.5000

Properties
Its energy relative to the lowest polymorph listed for this composition is 0.2 meV/atom. The calculation puts the energy at -3.46 eV/atom. As for the space group: P4/mmm (123). For the theoretical density, the calculation gives 11.51 g/cm3.

The following is a DFT calculation (PBE) of a geometry-optimized Sm3Ho5Er structure.

Cell: 9.4843 9.4843 11.5714 Å, 52.63 52.63 73.38°
Fractional positions:
1 Sm 0.6597 0.6597 0.3622
2 Sm 0.3403 0.3403 0.6378
3 Sm 0.6990 0.6990 0.8098
4 Sm 0.0000 0.0000 0.0000
5 Sm 0.0000 0.0000 0.5000
6 Sm 0.3010 0.3010 0.1902
7 Ho 0.7418 0.2582 0.0000
8 Ho 0.2582 0.7418 0.0000
9 Ho 0.4914 0.4914 0.2274
10 Ho 0.1856 0.1856 0.0366
11 Ho 0.8440 0.3422 0.2499
12 Ho 0.8144 0.8144 0.9634
13 Ho 0.1560 0.6578 0.7501
14 Ho 0.3422 0.8440 0.2499
15 Ho 0.6578 0.1560 0.7501
16 Ho 0.5086 0.5086 0.7726
17 Er 0.1493 0.1493 0.6021
18 Er 0.8507 0.8507 0.3979

Properties
Its energy relative to the lowest polymorph listed for this composition is 363.7 meV/atom. The calculation puts the energy at -4.09 eV/atom. As for the space group: C2/m (12). For the theoretical density, the calculation gives 7.35 g/cm3.

The following is a DFT calculation (PBE) of a geometry-optimized TaCo2TcPb structure.

Cell: 4.3785 5.0843 4.3785 Å, 90.00 90.00 90.00°
Fractional positions:
1 Tc 0.0000 0.0000 0.0000
2 Pb 0.0000 0.5000 0.0000
3 Co 0.5000 0.0000 0.0000
4 Co 0.0000 0.0000 0.5000
5 Ta 0.5000 0.5000 0.5000

Properties
The calculation puts the energy at -6.44 eV/atom. As for the space group: P4/mmm (123). For the theoretical density, the calculation gives 10.29 g/cm3.

The following is a DFT calculation (PBE) of a geometry-optimized Rb4AlPb4 structure.

Cell: 6.6135 10.9877 6.5783 Å, 72.58 90.00 107.51°
Fractional positions:
1 Al 0.0000 0.0000 0.0000
2 Rb 0.6095 0.6924 0.9170
3 Rb 0.3905 0.3076 0.6094
4 Rb 0.9171 0.3076 0.0830
5 Rb 0.0829 0.6924 0.3906
6 Pb 0.7507 0.0842 0.6679
7 Pb 0.3335 0.0842 0.2479
8 Pb 0.6665 0.9158 0.3321
9 Pb 0.2493 0.9158 0.7521

Properties
The calculation puts the energy at -2.49 eV/atom. As for the space group: I222 (23). For the theoretical density, the calculation gives 4.59 g/cm3.

The following is a DFT calculation (PBE) of a geometry-optimized RbSn3Pd structure.

Cell: 5.3946 5.3946 5.3946 Å, 90.00 90.00 90.00°
Fractional positions:
1 Sn 0.0000 0.0000 0.5000
2 Sn 0.5000 0.0000 0.0000
3 Sn 0.0000 0.5000 0.0000
4 Rb 0.5000 0.5000 0.5000
5 Pd 0.0000 0.0000 0.0000

Properties
Its energy relative to the lowest polymorph listed for this composition is 305.0 meV/atom. The calculation puts the energy at -3.65 eV/atom. As for the space group: Pm-3m (221). For the theoretical density, the calculation gives 5.80 g/cm3.

The following is a DFT calculation (PBE) of a geometry-optimized AgC2 structure.

Cell: 4.1624 4.1624 7.4820 Å, 68.29 68.29 37.87°
Fractional positions:
1 C 0.7260 0.7260 0.6056
2 C 0.2229 0.2229 0.1590
3 C 0.7182 0.7182 0.4407
4 C 0.7252 0.7252 0.2481
5 Ag 0.4001 0.4001 0.7210
6 Ag 0.0410 0.0410 0.9923

Properties
Its energy relative to the lowest polymorph listed for this composition is 782.1 meV/atom. The calculation puts the energy at -5.99 eV/atom. As for the space group: Cm (8). For the theoretical density, the calculation gives 5.98 g/cm3.

The following is a DFT calculation (PBE) of a geometry-optimized Gd2AlOs structure.

Cell: 3.5161 3.5161 7.1789 Å, 90.00 90.00 90.00°
Fractional positions:
1 Gd 0.0000 0.0000 0.2308
2 Gd 0.0000 0.0000 0.7692
3 Al 0.5000 0.5000 0.5000
4 Os 0.5000 0.5000 0.0000

Properties
Its energy relative to the lowest polymorph listed for this composition is 0.0 meV/atom. The calculation puts the energy at -11.04 eV/atom. As for the space group: P4/mmm (123). For the theoretical density, the calculation gives 9.95 g/cm3.

The following is a DFT calculation (PBE) of a geometry-optimized Cs2As2Pt structure.

Cell: 6.5889 7.1142 8.3623 Å, 115.17 90.00 90.00°
Fractional positions:
1 Pt 0.5000 0.0000 0.0000
2 Pt 0.0000 0.0000 0.0000
3 As 0.2500 0.0740 0.8034
4 As 0.7500 0.2705 0.1966
5 As 0.7500 0.9260 0.1966
6 As 0.2500 0.7295 0.8034
7 Cs 0.2500 0.5852 0.1700
8 Cs 0.7500 0.4148 0.8300
9 Cs 0.7500 0.7933 0.5869
10 Cs 0.2500 0.2067 0.4131

Properties
The calculation puts the energy at -3.94 eV/atom. As for the space group: Cmcm (63). For the theoretical density, the calculation gives 5.72 g/cm3.

The following is a DFT calculation (PBE) of a geometry-optimized La2Ge2Bi structure.

Cell: 7.8515 7.8515 4.4704 Å, 90.00 90.00 90.00°
Fractional positions:
1 La 0.6776 0.8224 0.5000
2 La 0.3224 0.1776 0.5000
3 La 0.8224 0.3224 0.5000
4 La 0.1776 0.6776 0.5000
5 Ge 0.3839 0.8839 0.0000
6 Ge 0.1161 0.3839 0.0000
7 Ge 0.6161 0.1161 0.0000
8 Ge 0.8839 0.6161 0.0000
9 Bi 0.5000 0.5000 0.0000
10 Bi 0.0000 0.0000 0.0000

Properties
Its energy relative to the lowest polymorph listed for this composition is 22.0 meV/atom. The calculation puts the energy at -5.39 eV/atom. As for the space group: P4/mbm (127). For the theoretical density, the calculation gives 7.62 g/cm3.

The following is a DFT calculation (PBE) of a geometry-optimized Pa2GeSe structure.

Cell: 4.9804 4.9804 4.9804 Å, 60.00 60.00 60.00°
Fractional positions:
1 Pa 0.7500 0.7500 0.7500
2 Pa 0.2500 0.2500 0.2500
3 Ge 0.5000 0.5000 0.5000
4 Se 0.0000 0.0000 0.0000

Properties
Its energy relative to the lowest polymorph listed for this composition is 182.1 meV/atom. As for the uncorrected formation energy: -693 meV per atom. The calculation puts the energy at -7.47 eV/atom. As for the space group: Fm-3m (225). For the theoretical density, the calculation gives 11.67 g/cm3.

The following is a DFT calculation (PBE) of a geometry-optimized HfCr2As2 structure.

Cell: 7.0969 7.0969 3.1314 Å, 90.00 90.00 90.00°
Fractional positions:
1 As 0.6502 0.1502 0.0000
2 As 0.1502 0.3498 0.0000
3 As 0.8498 0.6502 0.0000
4 As 0.3498 0.8498 0.0000
5 Hf 0.0000 0.0000 0.0000
6 Hf 0.5000 0.5000 0.0000
7 Cr 0.8627 0.3627 0.5000
8 Cr 0.1373 0.6373 0.5000
9 Cr 0.6373 0.8627 0.5000
10 Cr 0.3627 0.1373 0.5000

Properties
The calculation puts the energy at -7.87 eV/atom. As for the space group: P4/mbm (127). For the theoretical density, the calculation gives 9.10 g/cm3.

The following is a DFT calculation (PBE) of a geometry-optimized CaLa7Sm2 structure.

Cell: 5.8206 9.3402 9.3402 Å, 59.08 90.00 90.00°
Fractional positions:
1 Ca 0.0000 0.0000 0.0000
2 Sm 0.5000 0.2998 0.2998
3 Sm 0.5000 0.7002 0.7002
4 La 0.5000 0.3055 0.9337
5 La 0.5000 0.5000 0.5000
6 La 0.0000 0.7514 0.7514
7 La 0.5000 0.6945 0.0663
8 La 0.5000 0.9337 0.3055
9 La 0.5000 0.0663 0.6945
10 La 0.0000 0.2486 0.2486

Properties
The calculation puts the energy at -4.07 eV/atom. As for the space group: Cmmm (65). For the theoretical density, the calculation gives 5.01 g/cm3.